DFT (PBE+U) results for a relaxed structure of Sm3MoO6.

Summary:
The value obtained for the total DFT energy (no corrections) is -8.015 eV/atom.

a b c (Å): 9.2245 11.3161 5.7256
angles (deg): 90.00 90.00 90.00
Last column: nearest neighbours and their distance in Å.
Space group Cmc2_1 (No. 36)
Asymmetric unit:
Sm 0.0000 0.1033 0.0000 (multiplicity 4)  7 O 2.36-2.58
Sm 0.2070 0.3821 0.9476 (multiplicity 8)  6 O 2.30-2.50
Mo 0.0000 0.3562 0.4371 (multiplicity 4)  5 O 2.10-2.26
O 0.0000 0.2784 0.7700 (multiplicity 4)  1 Mo 2.10
O 0.0000 0.4865 0.1386 (multiplicity 4)  2 Mo 2.12-2.26
O 0.1480 0.2491 0.2504 (multiplicity 8)  1 Mo 2.12, 2 Sm 2.30-2.36
O 0.1595 0.0140 0.7245 (multiplicity 8)  4 Sm 2.32-2.38